CeUBi: optimized geometry, PBE. Values from VASP.

Structure (Quantum ESPRESSO input):
```
&SYSTEM
  ibrav = 0, nat = 6, ntyp = 3
/
ATOMIC_SPECIES
Bi 208.98 Bi.upf
Ce 140.12 Ce.upf
U 238.03 U.upf
CELL_PARAMETERS angstrom
-3.494 0.718 2.809
1.863 -2.815 3.036
3.853 6.051 3.246
ATOMIC_POSITIONS crystal
Bi 0.000 0.500 0.814
Bi 0.500 0.000 0.186
Ce 0.000 0.500 0.243
Ce 0.500 0.000 0.757
U 0.500 0.500 0.500
U 0.000 0.000 0.500
```

Calculated values
space-group type	P4/nmm
uncorrected energy	-42.81	eV per cell
N(E_F)	11.493	states/eV/cell
ΔH_f (0 K)	-100	meV/atom



Nd2AlOs: optimized geometry, PBE. Values from VASP.

Structure (Quantum ESPRESSO input):
```
&SYSTEM
  ibrav = 0, nat = 4, ntyp = 3
/
ATOMIC_SPECIES
Nd 144.24 Nd.upf
Al 26.98 Al.upf
Os 190.23 Os.upf
CELL_PARAMETERS angstrom
4.402 0.010 0.054
2.200 3.813 0.054
2.106 1.220 6.447
ATOMIC_POSITIONS crystal
Nd 0.033 0.033 0.902
Nd 0.216 0.216 0.350
Al 0.792 0.792 0.625
Os 0.459 0.459 0.623
```

Calculated values
space-group type	Cm
uncorrected energy	-25.34	eV per cell
N(E_F)	4.255	states/eV/cell
ΔH_f (0 K)	-209	meV/atom



HoHfCuPd: optimized geometry, PBE. Values from VASP.

Structure (Quantum ESPRESSO input):
```
&SYSTEM
  ibrav = 0, nat = 4, ntyp = 4
/
ATOMIC_SPECIES
Cu 63.55 Cu.upf
Hf 178.49 Hf.upf
Ho 164.93 Ho.upf
Pd 106.42 Pd.upf
CELL_PARAMETERS angstrom
4.781 0.000 0.000
2.391 4.141 0.000
2.391 1.380 3.904
ATOMIC_POSITIONS crystal
Cu 0.000 0.000 0.000
Hf 0.750 0.750 0.750
Ho 0.250 0.250 0.250
Pd 0.500 0.500 0.500
```

Calculated values
space-group type	F-43m
uncorrected energy	-25.44	eV per cell
N(E_F)	2.614	states/eV/cell
ΔH_f (0 K)	-405	meV/atom



LaCr3Cl: optimized geometry, PBE. Values from VASP.

Structure (Quantum ESPRESSO input):
```
&SYSTEM
  ibrav = 0, nat = 5, ntyp = 3
/
ATOMIC_SPECIES
Cr 52.00 Cr.upf
Cl 35.45 Cl.upf
La 138.91 La.upf
CELL_PARAMETERS angstrom
-2.558 -3.334 -1.324
2.901 -0.966 -3.172
2.110 -2.714 2.756
ATOMIC_POSITIONS crystal
Cr 0.000 0.500 0.000
Cr 0.000 0.000 0.500
Cr 0.500 0.000 0.000
Cl 0.000 0.000 0.000
La 0.500 0.500 0.500
```

Calculated values
space-group type	Pm-3m
uncorrected energy	-31.79	eV per cell
N(E_F)	4.802	states/eV/cell
energy relative to the elements, uncorrected	0.772	eV/atom



PrCd3Hg: optimized geometry, PBE. Values from VASP.

Structure (Quantum ESPRESSO input):
```
&SYSTEM
  ibrav = 0, nat = 5, ntyp = 3
/
ATOMIC_SPECIES
Pr 140.91 Pr.upf
Cd 112.41 Cd.upf
Hg 200.59 Hg.upf
CELL_PARAMETERS angstrom
4.419 0.507 0.009
-0.513 4.418 0.009
-1.934 -2.439 6.485
ATOMIC_POSITIONS crystal
Pr 0.395 0.395 0.790
Cd 0.649 0.150 0.299
Cd 0.150 0.649 0.299
Cd 0.010 0.010 0.016
Hg 0.794 0.794 0.591
```

Calculated values
space-group type	Cm
uncorrected energy	-9.02	eV per cell
N(E_F)	2.769	states/eV/cell
ΔH_f (0 K)	-239	meV/atom



Cr3ReTc: optimized geometry, PBE. Values from VASP.

Structure (Quantum ESPRESSO input):
```
&SYSTEM
  ibrav = 0, nat = 5, ntyp = 3
/
ATOMIC_SPECIES
Re 186.21 Re.upf
Tc 98.00 Tc.upf
Cr 52.00 Cr.upf
CELL_PARAMETERS angstrom
4.327 0.000 0.000
0.000 4.327 0.000
0.000 0.000 4.327
ATOMIC_POSITIONS crystal
Re 0.500 0.500 0.500
Tc 0.000 0.000 0.000
Cr 0.000 0.500 0.000
Cr 0.000 0.000 0.500
Cr 0.500 0.000 0.000
```

Calculated values
space-group type	Pm-3m
uncorrected energy	-42.59	eV per cell
N(E_F)	7.715	states/eV/cell
ΔH_f (0 K)	1819	meV/atom



Be3GeIr: optimized geometry, PBE. Values from VASP.

Structure (Quantum ESPRESSO input):
```
&SYSTEM
  ibrav = 0, nat = 5, ntyp = 3
/
ATOMIC_SPECIES
Be 9.01 Be.upf
Ge 72.64 Ge.upf
Ir 192.22 Ir.upf
CELL_PARAMETERS angstrom
4.263 0.000 0.000
0.000 4.263 0.000
0.000 0.000 4.263
ATOMIC_POSITIONS crystal
Be 0.000 0.500 0.000
Be 0.000 0.000 0.500
Be 0.500 0.000 0.000
Ge 0.500 0.500 0.500
Ir 0.000 0.000 0.000
```

Calculated values
space-group type	Pm-3m
uncorrected energy	-22.64	eV per cell
N(E_F)	1.773	states/eV/cell
ΔH_f (0 K)	403	meV/atom



Sc2TiCu: optimized geometry, PBE. Values from VASP.

Structure (Quantum ESPRESSO input):
```
&SYSTEM
  ibrav = 0, nat = 4, ntyp = 3
/
ATOMIC_SPECIES
Sc 44.96 Sc.upf
Cu 63.55 Cu.upf
Ti 47.87 Ti.upf
CELL_PARAMETERS angstrom
1.200 -4.717 9.041
2.921 -6.548 7.350
4.099 -4.013 8.517
ATOMIC_POSITIONS crystal
Sc 0.912 0.912 0.912
Sc 0.088 0.088 0.088
Cu 0.000 0.000 0.000
Ti 0.500 0.500 0.500
```

Calculated values
space-group type	R-3m
uncorrected energy	-23.30	eV per cell
N(E_F)	7.511	states/eV/cell
ΔH_f (0 K)	338	meV/atom



ZrIn5: optimized geometry, PBE. Values from VASP.

Structure (Quantum ESPRESSO input):
```
&SYSTEM
  ibrav = 0, nat = 6, ntyp = 2
/
ATOMIC_SPECIES
Zr 91.22 Zr.upf
In 114.82 In.upf
CELL_PARAMETERS angstrom
1.655 -8.841 0.000
1.655 8.841 0.000
0.000 0.000 5.150
ATOMIC_POSITIONS crystal
Zr 0.114 0.886 0.500
In 0.001 0.999 0.000
In 0.338 0.662 0.000
In 0.655 0.345 0.000
In 0.457 0.543 0.500
In 0.768 0.232 0.500
```

Calculated values
space-group type	Amm2
uncorrected energy	-22.34	eV per cell
N(E_F)	4.015	states/eV/cell
ΔH_f (0 K)	-17	meV/atom



Sr2Tl8Cd: optimized geometry, PBE. Values from VASP.

Structure (Quantum ESPRESSO input):
```
&SYSTEM
  ibrav = 0, nat = 11, ntyp = 3
/
ATOMIC_SPECIES
Sr 87.62 Sr.upf
Tl 204.38 Tl.upf
Cd 112.41 Cd.upf
CELL_PARAMETERS angstrom
-2.839 3.280 -2.861
0.923 -2.885 -4.223
-10.405 -6.886 2.431
ATOMIC_POSITIONS crystal
Sr 0.000 0.000 0.313
Sr 0.000 0.000 0.687
Tl 0.000 0.500 0.500
Tl 0.500 0.000 0.500
Tl 0.500 0.500 0.313
Tl 0.500 0.500 0.687
Tl 0.000 0.500 0.133
Tl 0.500 0.000 0.133
Tl 0.000 0.500 0.867
Tl 0.500 0.000 0.867
Cd 0.000 0.000 0.000
```

Calculated values
space-group type	P4/mmm
uncorrected energy	-25.07	eV per cell
N(E_F)	6.527	states/eV/cell
ΔH_f (0 K)	-170	meV/atom



BaLaAg2: optimized geometry, PBE. Values from VASP.

Structure (Quantum ESPRESSO input):
```
&SYSTEM
  ibrav = 0, nat = 4, ntyp = 3
/
ATOMIC_SPECIES
Ba 137.33 Ba.upf
Ag 107.87 Ag.upf
La 138.91 La.upf
CELL_PARAMETERS angstrom
-2.978 -1.866 -1.581
-0.647 -1.800 3.344
-5.326 6.438 2.434
ATOMIC_POSITIONS crystal
Ba 0.000 0.000 0.438
Ag 0.000 0.000 0.038
Ag 0.500 0.500 0.190
La 0.500 0.500 0.833
```

Calculated values
space-group type	P4mm
uncorrected energy	-12.83	eV per cell
N(E_F)	3.129	states/eV/cell
ΔH_f (0 K)	-70	meV/atom



ZnCdH2: optimized geometry, PBE. Values from VASP.

Structure (Quantum ESPRESSO input):
```
&SYSTEM
  ibrav = 0, nat = 4, ntyp = 3
/
ATOMIC_SPECIES
H 1.01 H.upf
Zn 65.41 Zn.upf
Cd 112.41 Cd.upf
CELL_PARAMETERS angstrom
3.288 -2.071 1.191
1.744 0.836 3.575
-0.271 -2.657 3.064
ATOMIC_POSITIONS crystal
H 0.250 0.250 0.250
H 0.750 0.750 0.750
Zn 0.000 0.000 0.000
Cd 0.500 0.500 0.500
```

Calculated values
space-group type	Fm-3m
uncorrected energy	-6.19	eV per cell
N(E_F)	1.194	states/eV/cell



CaBe2Au10: optimized geometry, PBE. Values from VASP.

Structure (Quantum ESPRESSO input):
```
&SYSTEM
  ibrav = 0, nat = 13, ntyp = 3
/
ATOMIC_SPECIES
Ca 40.08 Ca.upf
Be 9.01 Be.upf
Au 196.97 Au.upf
CELL_PARAMETERS angstrom
-4.500 3.058 -0.796
-4.282 -2.897 -5.917
-5.237 -1.870 3.427
ATOMIC_POSITIONS crystal
Ca 0.000 0.000 0.000
Be 0.000 0.500 0.000
Be 0.500 0.500 0.000
Au 0.309 0.666 0.716
Au 0.691 0.334 0.284
Au 0.975 0.334 0.716
Au 0.025 0.666 0.284
Au 0.000 0.000 0.500
Au 0.500 0.000 0.500
Au 0.245 0.275 0.236
Au 0.755 0.725 0.764
Au 0.519 0.725 0.236
Au 0.481 0.275 0.764
```

Calculated values
space-group type	Fmmm
uncorrected energy	-45.22	eV per cell
N(E_F)	2.989	states/eV/cell
ΔH_f (0 K)	-230	meV/atom